Record 1
The following is a PBE calculation of an optimized crystal structure of MnTcNi2Ag, from the Alexandria database.

Output
volume	18.10	Å³/atom
total DFT energy (no corrections)	-28.02	eV/cell
ΔE_f	1.1861	eV/atom
magnetization	2.13	μB per cell
ρ	6.9	g cm⁻³

Structure (CIF):
```
data_MnTcNi2Ag
_space_group_name_H-M_alt 'P 4/m m m'
_space_group_IT_number 123
_space_group_name_Hall '-P 4 2'
_cell_length_a 4.531
_cell_length_b 4.531
_cell_length_c 4.409
_cell_angle_alpha 90.00
_cell_angle_beta 90.00
_cell_angle_gamma 90.00
loop_
_atom_site_label
_atom_site_fract_x
_atom_site_fract_y
_atom_site_fract_z
_atom_site_occupancy
Mn1 0.000 0.000 0.000 1
Tc1 0.000 0.000 0.500 1
Ni1 0.000 0.500 0.500 1
Ag1 0.500 0.500 0.000 1
```



Record 2
The following is a PBE calculation of an optimized crystal structure of MnNiAgTe2, from the Alexandria database.

Output
formation energy (no corrections)	695.0	meV per atom
volume	22.00	Å³/atom
total DFT energy (no corrections)	-20.61	eV/cell
magnetization	0.00	μB per cell
ρ	7.2	g cm⁻³

Structure (CIF):
```
data_MnNiAgTe2
_space_group_name_H-M_alt 'P 4/m m m'
_space_group_IT_number 123
_space_group_name_Hall '-P 4 2'
_cell_length_a 4.939
_cell_length_b 4.939
_cell_length_c 4.508
_cell_angle_alpha 90.00
_cell_angle_beta 90.00
_cell_angle_gamma 90.00
loop_
_atom_site_label
_atom_site_fract_x
_atom_site_fract_y
_atom_site_fract_z
_atom_site_occupancy
Mn1 0.000 0.000 0.000 1
Ni1 0.000 0.000 0.500 1
Ag1 0.500 0.500 0.500 1
Te1 0.000 0.500 0.000 1
```



Record 3
The following is a PBE calculation of an optimized crystal structure of Ti2MnNiAg, from the Alexandria database.

Output
volume	17.01	Å³/atom
total DFT energy (no corrections)	-31.18	eV/cell
ΔE_f	0.4832	eV/atom
magnetization	0.00	μB per cell
ρ	6.2	g cm⁻³

Structure (CIF):
```
data_Ti2MnNiAg
_space_group_name_H-M_alt 'P 4/m m m'
_space_group_IT_number 123
_space_group_name_Hall '-P 4 2'
_cell_length_a 4.402
_cell_length_b 4.402
_cell_length_c 4.390
_cell_angle_alpha 90.00
_cell_angle_beta 90.00
_cell_angle_gamma 90.00
loop_
_atom_site_label
_atom_site_fract_x
_atom_site_fract_y
_atom_site_fract_z
_atom_site_occupancy
Ti1 0.000 0.500 0.000 1
Mn1 0.000 0.000 0.000 1
Ni1 0.000 0.000 0.500 1
Ag1 0.500 0.500 0.500 1
```



Record 4
The following is a PBE calculation of an optimized crystal structure of MnTlNi2Ag, from the Alexandria database.

Output
volume	22.88	Å³/atom
total DFT energy (no corrections)	-19.43	eV/cell
ΔE_f	1.3044	eV/atom
magnetization	5.53	μB per cell
ρ	7.0	g cm⁻³

Structure (CIF):
```
data_MnTlNi2Ag
_space_group_name_H-M_alt 'P 4/m m m'
_space_group_IT_number 123
_space_group_name_Hall '-P 4 2'
_cell_length_a 4.739
_cell_length_b 4.739
_cell_length_c 5.093
_cell_angle_alpha 90.00
_cell_angle_beta 90.00
_cell_angle_gamma 90.00
loop_
_atom_site_label
_atom_site_fract_x
_atom_site_fract_y
_atom_site_fract_z
_atom_site_occupancy
Mn1 0.000 0.000 0.000 1
Tl1 0.500 0.500 0.000 1
Ni1 0.000 0.500 0.500 1
Ag1 0.500 0.500 0.500 1
```